Computed, not measured: an optimized crystal structure of InSiPt at the GGA-PBE level of DFT.

For the volume, the calculation gives 22.2 A^3/atom. Its formation energy without anion corrections is -0.31 eV/atom. The value obtained for the density of states at the Fermi level is 3.5 states/eV/cell.

abc: 5.8431 6.3274 7.2476
angles: 95.18 90.00 90.00
Fractional coordinates of all 12 atoms:
Pt 0.4691 0.1985 0.6257
Pt 0.9691 0.8015 0.8743
Pt 0.5309 0.8015 0.3743
Pt 0.0309 0.1985 0.1257
Si 0.7068 0.8997 0.6617
Si 0.7932 0.8997 0.1617
Si 0.2932 0.1003 0.3383
Si 0.2068 0.1003 0.8383
In 0.2491 0.5889 0.1152
In 0.2509 0.5889 0.6152
In 0.7509 0.4111 0.8848
In 0.7491 0.4111 0.3848